The following is a PBE calculation of Ba2GaPdPb after structural relaxation, from Alexandria via LeMat-Bulk.

Output
- Electronic total energy: -3.590 eV/atom

Cell lengths 6.170, 6.170, 4.834 Å; angles 90.00, 90.00, 90.00 degrees
Positions (direct):
Ba (0.000, 0.500, 0.000)
Ba (0.500, 0.000, 0.000)
Ga (0.000, 0.000, 0.500)
Pd (0.000, 0.000, 0.000)
Pb (0.500, 0.500, 0.500)